VASP calculation (GGA-PBE) on Sm2Y2Ho5 after structural relaxation.

a = 11.7830 Å, b = 6.7048 Å, c = 10.0704 Å
α = 109.44°, β = 125.81°, γ = 90.00°
Positions (direct):
1 Sm 0.7399 0.8551 0.5000
2 Ho 0.8085 0.2600 0.1047
3 Ho 0.6222 0.7528 0.7149
4 Y 0.8778 0.4301 0.7474
5 Ho 0.1915 0.1554 0.8953
6 Sm 0.0000 0.0123 0.0000
7 Sm 0.5000 0.5123 0.0000
8 Y 0.1222 0.6827 0.2526
9 Y 0.6304 0.1827 0.2526
10 Ho 0.3778 0.0379 0.2851
11 Ho 0.9992 0.1498 0.5000
12 Ho 0.0008 0.6498 0.5000
13 Ho 0.4073 0.5379 0.2851
14 Ho 0.2039 0.6554 0.8953
15 Y 0.3696 0.9301 0.7474
16 Sm 0.2601 0.3551 0.5000
17 Ho 0.7961 0.7600 0.1047
18 Ho 0.5927 0.2528 0.7149

Results
- Total magnetic moment: 0.00 μB per cell
- Total energy: -4.816 eV/atom
- ΔE_f: 0.212 eV/atom
- SG: No. 46